Record 1
DFT (GGA-PBE) results for an optimized crystal structure of Pm3SnP2Pt9.

Unit cell a=6.3936 b=6.3936 c=9.1879 alpha=90.00 beta=90.00 gamma=120.00
Fractional positions:
Pm: 0.0000 0.0000 0.0000
Pm: 0.3333 0.6667 0.7194
Pm: 0.6667 0.3333 0.2806
Sn: 0.0000 0.0000 0.5000
P: 0.3333 0.6667 0.1716
P: 0.6667 0.3333 0.8284
Pt: 0.0000 0.5000 0.0000
Pt: 0.1474 0.2949 0.2698
Pt: 0.1474 0.8526 0.2698
Pt: 0.2949 0.1474 0.7302
Pt: 0.5000 0.0000 0.0000
Pt: 0.5000 0.5000 0.0000
Pt: 0.7051 0.8526 0.2698
Pt: 0.8526 0.1474 0.7302
Pt: 0.8526 0.7051 0.7302

formation energy from the elements: -703.6 meV per atom
size of the total moment: 0.0 μB per cell
DOS(E_F): 0.357 states/eV/atom
space-group type: P-3m1 (164)

---

Record 2
DFT (GGA-PBE) results for an optimized crystal structure of SrPmP2Pt4.

Unit cell a=4.0958 b=4.0958 c=10.0878 alpha=90.00 beta=90.00 gamma=90.00
Fractional positions:
Sr: 0.0000 0.0000 0.0000
Pm: 0.0000 0.0000 0.5000
P: 0.5000 0.5000 0.1627
P: 0.5000 0.5000 0.8373
Pt: 0.0000 0.5000 0.2795
Pt: 0.0000 0.5000 0.7205
Pt: 0.5000 0.0000 0.2795
Pt: 0.5000 0.0000 0.7205

formation energy from the elements: -851.4 meV per atom
size of the total moment: 0.0 μB per cell
DOS(E_F): 0.619 states/eV/atom
space-group type: P4/mmm (123)

---

Record 3
DFT (GGA-PBE) results for an optimized crystal structure of SrPmP2Pt2.

Unit cell a=4.1620 b=4.1620 c=8.4999 alpha=90.00 beta=90.00 gamma=120.00
Fractional positions:
Sr: 0.0000 0.0000 0.0000
Pm: 0.0000 0.0000 0.5000
P: 0.3333 0.6667 0.2676
P: 0.6667 0.3333 0.7324
Pt: 0.3333 0.6667 0.7383
Pt: 0.6667 0.3333 0.2617

formation energy from the elements: -1237.3 meV per atom
size of the total moment: 0.0 μB per cell
DOS(E_F): 0.373 states/eV/atom
space-group type: P-3m1 (164)

---

Record 4
DFT (GGA-PBE) results for an optimized crystal structure of TbPm2P3Pt12.

Unit cell a=7.7282 b=7.7282 c=7.7282 alpha=64.91 beta=64.91 gamma=64.91
Fractional positions:
Tb: 0.0000 0.0000 0.0000
Pm: 0.4007 0.4007 0.4007
Pm: 0.5993 0.5993 0.5993
P: 0.0000 0.0000 0.5000
P: 0.0000 0.5000 0.0000
P: 0.5000 0.0000 0.0000
Pt: 0.1028 0.6598 0.6598
Pt: 0.1429 0.1429 0.5968
Pt: 0.1429 0.5968 0.1429
Pt: 0.3402 0.3402 0.8972
Pt: 0.3402 0.8972 0.3402
Pt: 0.4032 0.8571 0.8571
Pt: 0.5968 0.1429 0.1429
Pt: 0.6598 0.1028 0.6598
Pt: 0.6598 0.6598 0.1028
Pt: 0.8571 0.4032 0.8571
Pt: 0.8571 0.8571 0.4032
Pt: 0.8972 0.3402 0.3402

formation energy from the elements: -485.1 meV per atom
size of the total moment: 0.0 μB per cell
DOS(E_F): 0.378 states/eV/atom
space-group type: R-3m (166)